[1]
VASP calculation (PBE) on a relaxed structure of ZnTcF6.

Summary:
* SG: No. 163
* magnetization: 6.00 Bohr magnetons per cell
* E_form (uncorrected): -2.189 eV/atom
* volume: 13.4 Å³ per atom
* polymorph energy (0 for the lowest one): 10 meV/atom

Cell lengths 5.1017, 5.1017, 9.5006 Å; angles 90.00, 90.00, 120.00 degrees
With the nearest neighbours (Å) after each atom.
Fractional coordinates of all 16 atoms:
Zn  0.6667  0.3333  0.7500  6 F 2.06
F  0.6736  0.9731  0.3791  1 Tc 1.97, 1 Zn 2.06
F  0.0269  0.7006  0.3791  1 Tc 1.97, 1 Zn 2.06
F  0.3264  0.2994  0.8791  1 Tc 1.97, 1 Zn 2.06
F  0.7006  0.0269  0.8791  1 Tc 1.97, 1 Zn 2.06
F  0.6736  0.7006  0.1209  1 Tc 1.97, 1 Zn 2.06
F  0.7006  0.6736  0.6209  1 Tc 1.97, 1 Zn 2.06
Tc  0.0000  0.0000  0.5000  6 F 1.97
F  0.3264  0.0269  0.6209  1 Tc 1.97, 1 Zn 2.06
F  0.0269  0.3264  0.1209  1 Tc 1.97, 1 Zn 2.06
F  0.2994  0.3264  0.3791  1 Tc 1.97, 1 Zn 2.06
F  0.2994  0.9731  0.1209  1 Tc 1.97, 1 Zn 2.06
F  0.9731  0.6736  0.8791  1 Tc 1.97, 1 Zn 2.06
Zn  0.3333  0.6667  0.2500  6 F 2.06
Tc  0.0000  0.0000  0.0000  6 F 1.97
F  0.9731  0.2994  0.6209  1 Tc 1.97, 1 Zn 2.06

***

[2]
VASP calculation (PBE) on a relaxed structure of ZnTc2F.

Summary:
* SG: No. 225
* magnetization: 1.41 Bohr magnetons per cell
* E_form (uncorrected): 0.501 eV/atom
* volume: 13.4 Å³ per atom
* polymorph energy (0 for the lowest one): 191 meV/atom

Cell lengths 4.2357, 4.2357, 4.2357 Å; angles 60.00, 60.00, 60.00 degrees
With the nearest neighbours (Å) after each atom.
Fractional coordinates of all 4 atoms:
Tc  0.2500  0.2500  0.2500  4 F 2.59, 4 Zn 2.59
Zn  0.5000  0.5000  0.5000  8 Tc 2.59
F  0.0000  0.0000  0.0000  8 Tc 2.59
Tc  0.7500  0.7500  0.7500  4 F 2.59, 4 Zn 2.59

***

[3]
VASP calculation (PBE) on a relaxed structure of ZnTcF.

Summary:
* SG: No. 38
* magnetization: 0.00 Bohr magnetons per cell
* E_form (uncorrected): -0.487 eV/atom
* volume: 15.3 Å³ per atom

Cell lengths 2.7321, 2.7438, 14.1640 Å; angles 90.00, 90.00, 119.86 degrees
With the nearest neighbours (Å) after each atom.
Fractional coordinates of all 6 atoms:
Zn  0.5299  0.0598  0.0000  6 Tc 2.73, 6 Zn 2.73-2.74
F  0.6921  0.3842  0.4094  3 Zn 2.04
F  0.6921  0.3842  0.5906  3 Zn 2.04
Tc  0.1962  0.3924  0.8429  3 Zn 2.73, 6 Tc 2.73-2.74
Tc  0.1962  0.3924  0.1571  3 Zn 2.73, 6 Tc 2.73-2.74
Zn  0.3601  0.7202  0.5000  6 F 2.04

***

[4]
VASP calculation (PBE) on a relaxed structure of ZnTcF3.

Summary:
* SG: No. 221
* magnetization: 3.89 Bohr magnetons per cell
* E_form (uncorrected): -1.078 eV/atom
* volume: 16.0 Å³ per atom

Cell lengths 4.3121, 4.3121, 4.3121 Å; angles 90.00, 90.00, 90.00 degrees
With the nearest neighbours (Å) after each atom.
Fractional coordinates of all 5 atoms:
F  0.0000  0.0000  0.5000  2 Tc 2.16
Zn  0.5000  0.5000  0.5000  12 F 3.05
Tc  0.0000  0.0000  0.0000  6 F 2.16
F  0.5000  0.0000  0.0000  2 Tc 2.16
F  0.0000  0.5000  0.0000  2 Tc 2.16

***

[5]
VASP calculation (PBE) on a relaxed structure of ZnTcF6.

Summary:
* SG: No. 148
* magnetization: 3.00 Bohr magnetons per cell
* E_form (uncorrected): -2.199 eV/atom
* volume: 13.8 Å³ per atom
* polymorph energy (0 for the lowest one): 0 meV/atom

Cell lengths 5.2272, 5.2268, 5.5598 Å; angles 61.94, 61.96, 59.99 degrees
With the nearest neighbours (Å) after each atom.
Fractional coordinates of all 8 atoms:
F  0.2566  0.8656  0.2551  1 Tc 1.97, 1 Zn 2.05
F  0.6226  0.2564  0.2554  1 Tc 1.97, 1 Zn 2.05
Zn  0.0000  0.0000  0.0000  6 F 2.05
F  0.3774  0.7436  0.7446  1 Tc 1.97, 1 Zn 2.05
F  0.7434  0.1344  0.7449  1 Tc 1.97, 1 Zn 2.05
F  0.8655  0.6226  0.2552  1 Tc 1.97, 1 Zn 2.05
F  0.1345  0.3774  0.7448  1 Tc 1.97, 1 Zn 2.05
Tc  0.5000  0.5000  0.5000  6 F 1.97

***

[6]
VASP calculation (PBE) on a relaxed structure of ZnTc2F.

Summary:
* SG: No. 122
* magnetization: 0.00 Bohr magnetons per cell
* E_form (uncorrected): 0.310 eV/atom
* volume: 14.3 Å³ per atom
* polymorph energy (0 for the lowest one): 0 meV/atom

Cell lengths 7.0866, 7.0866, 5.5056 Å; angles 49.94, 49.94, 90.00 degrees
With the nearest neighbours (Å) after each atom.
Fractional coordinates of all 8 atoms:
Zn  0.7500  0.2500  0.5000  2 F 2.28
Tc  0.3750  0.4408  0.7500  2 F 2.27, 2 Tc 2.46
F  0.5000  0.5000  0.0000  4 Tc 2.27, 2 Zn 2.28
Tc  0.1908  0.6250  0.2500  2 F 2.27, 2 Tc 2.46
Tc  0.5592  0.1250  0.2500  2 F 2.27, 2 Tc 2.46
F  0.2500  0.7500  0.5000  4 Tc 2.27, 2 Zn 2.28
Tc  0.8750  0.8092  0.7500  2 F 2.27, 2 Tc 2.46
Zn  0.0000  0.0000  0.0000  2 F 2.28

***

[7]
VASP calculation (PBE) on a relaxed structure of Zr2TcF.

Summary:
* SG: No. 122
* magnetization: 0.10 Bohr magnetons per cell
* E_form (uncorrected): -0.684 eV/atom
* volume: 17.9 Å³ per atom
* polymorph energy (0 for the lowest one): 0 meV/atom

Cell lengths 6.4988, 6.4988, 5.7141 Å; angles 55.34, 55.34, 90.00 degrees
With the nearest neighbours (Å) after each atom.
Fractional coordinates of all 8 atoms:
F  0.2500  0.7500  0.5000  4 Zr 2.24
Tc  0.0000  0.0000  0.0000  4 Zr 2.68
F  0.5000  0.5000  0.0000  4 Zr 2.24
Zr  0.1760  0.6250  0.2500  2 F 2.24
Zr  0.8750  0.8240  0.7500  2 F 2.24
Tc  0.7500  0.2500  0.5000  4 Zr 2.68
Zr  0.3750  0.4260  0.7500  2 F 2.24
Zr  0.5740  0.1250  0.2500  2 F 2.24

***

[8]
VASP calculation (PBE) on a relaxed structure of Zr2Tc2F.

Summary:
* SG: No. 139
* magnetization: 0.00 Bohr magnetons per cell
* E_form (uncorrected): -0.190 eV/atom
* volume: 19.0 Å³ per atom
* polymorph energy (0 for the lowest one): 230 meV/atom

Cell lengths 3.5396, 3.5396, 7.9987 Å; angles 77.22, 77.22, 90.00 degrees
With the nearest neighbours (Å) after each atom.
Fractional coordinates of all 5 atoms:
Tc  0.7500  0.2500  0.5000  4 Tc 2.50
Tc  0.2500  0.7500  0.5000  4 Tc 2.50
Zr  0.3934  0.3934  0.2132  4 Tc 2.81, 4 F 2.98
F  0.0000  0.0000  0.0000  8 Zr 2.98
Zr  0.6066  0.6066  0.7868  4 Tc 2.81, 4 F 2.98

***

- Among the records above, which one has the highest E_form (uncorrected)?
  number 2